1.
Tb3BiSbN: optimized geometry, PBE.

Calculated values
* total DFT energy (no corrections): -6.13 eV per atom
* raw formation energy: -1.10 eV/atom
* space-group type: P2_1/m
* size of the total moment: 0.0 μB/f.u.

a = 9.230 Å, b = 4.227 Å, c = 9.323 Å
α = 90.00°, β = 96.67°, γ = 90.00°
Sites, in units of the cell vectors:
Tb 0.112 0.250 0.363
Tb 0.357 0.250 0.001
Tb 0.380 0.750 0.679
Tb 0.620 0.250 0.321
Tb 0.643 0.750 0.999
Tb 0.888 0.750 0.637
Bi 0.347 0.750 0.304
Bi 0.653 0.250 0.696
Sb 0.132 0.250 0.692
Sb 0.868 0.750 0.308
N 0.410 0.750 0.911
N 0.590 0.250 0.089

---

2.
BaTe2F: optimized geometry, PBE.

Calculated values
* total DFT energy (no corrections): -3.51 eV per atom
* raw formation energy: -0.99 eV/atom
* space-group type: R-3m
* size of the total moment: 0.0 μB/f.u.
* energy above the lowest structure with this stoichiometry: 667 meV per atom

a = 5.614 Å, b = 5.614 Å, c = 21.456 Å
α = 90.00°, β = 90.00°, γ = 120.00°
Sites, in units of the cell vectors:
Ba 0.000 0.000 0.000
Ba 0.333 0.667 0.667
Ba 0.667 0.333 0.333
Te 0.000 0.000 0.395
Te 0.000 0.000 0.605
Te 0.333 0.667 0.062
Te 0.333 0.667 0.271
Te 0.667 0.333 0.729
Te 0.667 0.333 0.938
F 0.000 0.000 0.500
F 0.333 0.667 0.167
F 0.667 0.333 0.833

---

3.
Li2CuAs2Pd5: optimized geometry, PBE.

Calculated values
* total DFT energy (no corrections): -4.70 eV per atom
* space-group type: P4/mbm
* calculated formation energy: -377.7 meV per atom
* size of the total moment: 0.0 μB/f.u.

a = 9.315 Å, b = 9.315 Å, c = 3.684 Å
α = 90.00°, β = 90.00°, γ = 90.00°
Sites, in units of the cell vectors:
Li 0.166 0.334 0.000
Li 0.334 0.834 0.000
Li 0.666 0.166 0.000
Li 0.834 0.666 0.000
Cu 0.000 0.000 0.000
Cu 0.500 0.500 0.000
As 0.136 0.636 0.000
As 0.364 0.136 0.000
As 0.636 0.864 0.000
As 0.864 0.364 0.000
Pd 0.000 0.500 0.500
Pd 0.073 0.804 0.500
Pd 0.196 0.073 0.500
Pd 0.304 0.573 0.500
Pd 0.427 0.304 0.500
Pd 0.500 0.000 0.500
Pd 0.573 0.696 0.500
Pd 0.696 0.427 0.500
Pd 0.804 0.927 0.500
Pd 0.927 0.196 0.500

---

What did the third record say?
Li2CuAs2Pd5: optimized geometry, PBE.

Calculated values
* total DFT energy (no corrections): -4.70 eV per atom
* space-group type: P4/mbm
* calculated formation energy: -377.7 meV per atom
* size of the total moment: 0.0 μB/f.u.

a = 9.315 Å, b = 9.315 Å, c = 3.684 Å
α = 90.00°, β = 90.00°, γ = 90.00°
Sites, in units of the cell vectors:
Li 0.166 0.334 0.000
Li 0.334 0.834 0.000
Li 0.666 0.166 0.000
Li 0.834 0.666 0.000
Cu 0.000 0.000 0.000
Cu 0.500 0.500 0.000
As 0.136 0.636 0.000
As 0.364 0.136 0.000
As 0.636 0.864 0.000
As 0.864 0.364 0.000
Pd 0.000 0.500 0.500
Pd 0.073 0.804 0.500
Pd 0.196 0.073 0.500
Pd 0.304 0.573 0.500
Pd 0.427 0.304 0.500
Pd 0.500 0.000 0.500
Pd 0.573 0.696 0.500
Pd 0.696 0.427 0.500
Pd 0.804 0.927 0.500
Pd 0.927 0.196 0.500

---

- size of the total moment of number 1 (Tb3BiSbN)?
  0.0 μB/f.u.

---

- What is the formula in the first record?
  Tb3BiSbN